[1]
# Sr2TaAu

A relaxed Sr2TaAu crystal (GGA-PBE, the Alexandria database).

As for the total magnetization: 0.0 μB/cell. Its total energy is -49.4 eV per cell. The polymorph energy (0 for the lowest one) comes out at 238 meV per atom. The density comes out at 8.221 g/cm3. The value obtained for the calculated volume is 111.7 Å³/f.u.

Lattice parameters (Å, degrees): 3.5405 3.5405 30.8773 90.00 90.00 120.00
Space group R-3m (No. 166, hexagonal axes)
One atom of each set of equivalent atoms:
Sr (0.0000, 0.0000, 0.2459) (multiplicity 6)
Ta (0.0000, 0.0000, 0.0000) (multiplicity 3)
Au (0.0000, 0.0000, 0.5000) (multiplicity 3)

[2]
# SrTaAu

A relaxed SrTaAu crystal (GGA-PBE, the Alexandria database).

As for the total magnetization: 3.2 μB/cell. Its total energy is -26.7 eV per cell. The polymorph energy (0 for the lowest one) comes out at 1216 meV per atom. The density comes out at 11.151 g/cm3. The value obtained for the calculated volume is 69.3 Å³/f.u.

Lattice parameters (Å, degrees): 5.0725 5.0725 6.2225 90.00 90.00 120.00
Space group P6_3/mmc (No. 194)
One atom of each set of equivalent atoms:
Sr (0.3333, 0.6667, 0.2500) (multiplicity 2)
Ta (0.3333, 0.6667, 0.7500) (multiplicity 2)
Au (0.0000, 0.0000, 0.0000) (multiplicity 2)

[3]
# SrTaAu

A relaxed SrTaAu crystal (GGA-PBE, the Alexandria database).

As for the total magnetization: 8.0 μB/cell. Its total energy is -20.7 eV per cell. The polymorph energy (0 for the lowest one) comes out at 2216 meV per atom. The density comes out at 5.401 g/cm3. The value obtained for the calculated volume is 143.1 Å³/f.u.

Lattice parameters (Å, degrees): 5.0597 5.0597 12.9105 90.00 90.00 120.00
Space group P6_3/mmc (No. 194)
One atom of each set of equivalent atoms:
Sr (0.0000, 0.0000, 0.2500) (multiplicity 2)
Ta (0.0000, 0.0000, 0.0000) (multiplicity 2)
Au (0.3333, 0.6667, 0.2500) (multiplicity 2)

[4]
# Sr2TaAu

A relaxed Sr2TaAu crystal (GGA-PBE, the Alexandria database).

As for the total magnetization: 2.1 μB/cell. Its total energy is -16.4 eV per cell. The polymorph energy (0 for the lowest one) comes out at 256 meV per atom. The density comes out at 8.014 g/cm3. The value obtained for the calculated volume is 114.6 Å³/f.u.

Lattice parameters (Å, degrees): 5.756 5.756 3.459 90.00 90.00 90.00
Space group P4/mmm (No. 123)
One atom of each set of equivalent atoms:
Sr (0.000, 0.500, 0.000) (multiplicity 2)
Ta (0.000, 0.000, 0.500) (multiplicity 1)
Au (0.500, 0.500, 0.500) (multiplicity 1)

[5]
# Sr2TaAu

A relaxed Sr2TaAu crystal (GGA-PBE, the Alexandria database).

As for the total magnetization: 3.4 μB/cell. Its total energy is -34.3 eV per cell. The polymorph energy (0 for the lowest one) comes out at 71 meV per atom. The density comes out at 7.777 g/cm3. The value obtained for the calculated volume is 118.1 Å³/f.u.

Lattice parameters (Å, degrees): 13.171 3.537 5.590 90.00 114.91 90.00
Space group Cm (No. 8)
One atom of each set of equivalent atoms:
Sr (0.000, 0.000, 0.000) (multiplicity 2)
Sr (0.202, 0.000, 0.700) (multiplicity 2)
Ta (0.414, 0.000, 0.415) (multiplicity 2)
Au (0.244, 0.500, 0.241) (multiplicity 2)

[6]
# Sr2TaAu

A relaxed Sr2TaAu crystal (GGA-PBE, the Alexandria database).

As for the total magnetization: 12.0 μB/cell. Its total energy is -62.8 eV per cell. The polymorph energy (0 for the lowest one) comes out at 433 meV per atom. The density comes out at 8.544 g/cm3. The value obtained for the calculated volume is 107.5 Å³/f.u.

Lattice parameters (Å, degrees): 7.548 7.548 7.548 90.00 90.00 90.00
Space group F-43m (No. 216)
One atom of each set of equivalent atoms:
Sr (0.000, 0.000, 0.000) (multiplicity 4)
Sr (0.250, 0.250, 0.250) (multiplicity 4)
Ta (0.250, 0.250, 0.750) (multiplicity 4)
Au (0.000, 0.000, 0.500) (multiplicity 4)

[7]
# SrTaAu

A relaxed SrTaAu crystal (GGA-PBE, the Alexandria database).

As for the total magnetization: 0.0 μB/cell. Its total energy is -29.3 eV per cell. The polymorph energy (0 for the lowest one) comes out at 783 meV per atom. The density comes out at 11.060 g/cm3. The value obtained for the calculated volume is 69.9 Å³/f.u.

Lattice parameters (Å, degrees): 4.209 4.209 7.891 90.00 90.00 90.00
Space group P4/nmm (No. 129, origin choice 2)
One atom of each set of equivalent atoms:
Sr (0.250, 0.750, 0.000) (multiplicity 2)
Ta (0.250, 0.250, 0.372) (multiplicity 2)
Au (0.250, 0.250, 0.693) (multiplicity 2)

[8]
# Sr2TaAu

A relaxed Sr2TaAu crystal (GGA-PBE, the Alexandria database).

As for the total magnetization: 0.0 μB/cell. Its total energy is -17.1 eV per cell. The polymorph energy (0 for the lowest one) comes out at 83 meV per atom. The density comes out at 8.356 g/cm3. The value obtained for the calculated volume is 109.9 Å³/f.u.

Lattice parameters (Å, degrees): 3.404 3.404 9.486 90.00 90.00 90.00
Space group P4/mmm (No. 123)
One atom of each set of equivalent atoms:
Sr (0.000, 0.000, 0.235) (multiplicity 2)
Ta (0.500, 0.500, 0.500) (multiplicity 1)
Au (0.500, 0.500, 0.000) (multiplicity 1)

[9]
# Sr2TaAu

A relaxed Sr2TaAu crystal (GGA-PBE, the Alexandria database).

As for the total magnetization: 3.0 μB/cell. Its total energy is -32.8 eV per cell. The polymorph energy (0 for the lowest one) comes out at 258 meV per atom. The density comes out at 8.200 g/cm3. The value obtained for the calculated volume is 112.0 Å³/f.u.

Lattice parameters (Å, degrees): 7.334 8.966 3.407 90.00 90.00 90.00
Space group Cmmm (No. 65)
One atom of each set of equivalent atoms:
Sr (0.250, 0.250, 0.000) (multiplicity 4)
Ta (0.000, 0.000, 0.500) (multiplicity 2)
Au (0.000, 0.500, 0.500) (multiplicity 2)

[10]
# Sr2TaAu

A relaxed Sr2TaAu crystal (GGA-PBE, the Alexandria database).

As for the total magnetization: 15.7 μB/cell. Its total energy is -63.8 eV per cell. The polymorph energy (0 for the lowest one) comes out at 365 meV per atom. The density comes out at 7.742 g/cm3. The value obtained for the calculated volume is 118.6 Å³/f.u.

Lattice parameters (Å, degrees): 7.800 7.800 7.800 90.00 90.00 90.00
Space group Fm-3m (No. 225)
One atom of each set of equivalent atoms:
Sr (0.250, 0.250, 0.250) (multiplicity 8)
Ta (0.000, 0.000, 0.000) (multiplicity 4)
Au (0.000, 0.000, 0.500) (multiplicity 4)

[11]
# SrTaAu

A relaxed SrTaAu crystal (GGA-PBE, the Alexandria database).

As for the total magnetization: 0.0 μB/cell. Its total energy is -15.2 eV per cell. The polymorph energy (0 for the lowest one) comes out at 614 meV per atom. The density comes out at 10.827 g/cm3. The value obtained for the calculated volume is 71.4 Å³/f.u.

Lattice parameters (Å, degrees): 3.3077 3.3077 7.5352 90.00 90.00 120.00
Space group P3m1 (No. 156)
One atom of each set of equivalent atoms:
Sr (0.0000, 0.0000, 0.0000) (multiplicity 1)
Ta (0.6667, 0.3333, 0.3708) (multiplicity 1)
Au (0.3333, 0.6667, 0.6418) (multiplicity 1)

[12]
# SrTaAu

A relaxed SrTaAu crystal (GGA-PBE, the Alexandria database).

As for the total magnetization: 0.0 μB/cell. Its total energy is -60.8 eV per cell. The polymorph energy (0 for the lowest one) comes out at 607 meV per atom. The density comes out at 10.326 g/cm3. The value obtained for the calculated volume is 74.9 Å³/f.u.

Lattice parameters (Å, degrees): 4.626 10.642 6.083 90.00 90.00 90.00
Space group Cmcm (No. 63)
One atom of each set of equivalent atoms:
Sr (0.000, 0.000, 0.000) (multiplicity 4)
Ta (0.000, 0.287, 0.250) (multiplicity 4)
Au (0.000, 0.322, 0.750) (multiplicity 4)